Entry 1:
CsHoNiTe3: optimized geometry, GGA-PBE.

Space-group type: Pnma (62)
Total energy (eV/atom): -4.25
Mass density (g/cm3): 6.19

Cell: 12.9992 4.4834 13.6042 Å, 90.00 90.00 90.00°
Sites, in units of the cell vectors:
Cs1 0.1449 0.2500 0.0020
Cs2 0.3551 0.7500 0.5020
Cs3 0.6449 0.2500 0.4980
Cs4 0.8551 0.7500 0.9980
Ho1 0.0169 0.7500 0.6454
Ho2 0.4831 0.2500 0.1454
Ho3 0.5169 0.7500 0.8546
Ho4 0.9831 0.2500 0.3546
Ni1 0.2233 0.2500 0.7011
Ni2 0.2767 0.7500 0.2011
Ni3 0.7233 0.2500 0.7989
Ni4 0.7767 0.7500 0.2989
Te1 0.0808 0.7500 0.2258
Te2 0.1297 0.2500 0.5342
Te3 0.1991 0.7500 0.7807
Te4 0.3009 0.2500 0.2807
Te5 0.3703 0.7500 0.0342
Te6 0.4192 0.2500 0.7258
Te7 0.5808 0.7500 0.2742
Te8 0.6297 0.2500 0.9658
Te9 0.6991 0.7500 0.7193
Te10 0.8009 0.2500 0.2193
Te11 0.8703 0.7500 0.4658
Te12 0.9192 0.2500 0.7742


Entry 2:
CsHoNiTe3: optimized geometry, GGA-PBE.

Space-group type: Cmcm (63)
Total energy (eV/atom): -4.31
Mass density (g/cm3): 5.88

Cell: 9.4205 9.4205 10.7221 Å, 90.00 90.00 153.99°
Sites, in units of the cell vectors:
Cs1 0.2437 0.7563 0.7500
Cs2 0.7563 0.2437 0.2500
Ho1 0.5000 0.5000 0.0000
Ho2 0.5000 0.5000 0.5000
Ni1 0.0102 0.9898 0.2500
Ni2 0.9898 0.0102 0.7500
Te1 0.1094 0.8906 0.0850
Te2 0.1094 0.8906 0.4150
Te3 0.4263 0.5737 0.2500
Te4 0.5737 0.4263 0.7500
Te5 0.8906 0.1094 0.5850
Te6 0.8906 0.1094 0.9150


Entry 3:
CsHoNiTe3: optimized geometry, GGA-PBE.

Space-group type: Pnma (62)
Total energy (eV/atom): -4.29
Mass density (g/cm3): 5.97

Cell: 11.6341 4.3116 16.3942 Å, 90.00 90.00 90.00°
Sites, in units of the cell vectors:
Cs1 0.2413 0.2500 0.0115
Cs2 0.2587 0.7500 0.5115
Cs3 0.7413 0.2500 0.4885
Cs4 0.7587 0.7500 0.9885
Ho1 0.0056 0.7500 0.2542
Ho2 0.4944 0.2500 0.7542
Ho3 0.5056 0.7500 0.2458
Ho4 0.9944 0.2500 0.7458
Ni1 0.2491 0.2500 0.2922
Ni2 0.2509 0.7500 0.7922
Ni3 0.7491 0.2500 0.2078
Ni4 0.7509 0.7500 0.7078
Te1 0.0586 0.7500 0.8703
Te2 0.0643 0.2500 0.3787
Te3 0.2466 0.2500 0.7051
Te4 0.2534 0.7500 0.2051
Te5 0.4357 0.7500 0.8787
Te6 0.4414 0.2500 0.3703
Te7 0.5586 0.7500 0.6297
Te8 0.5643 0.2500 0.1213
Te9 0.7466 0.2500 0.7949
Te10 0.7534 0.7500 0.2949
Te11 0.9357 0.7500 0.6213
Te12 0.9414 0.2500 0.1297


Entry 4:
CsHoNiTe3: optimized geometry, GGA-PBE.

Space-group type: Pnma (62)
Total energy (eV/atom): -4.28
Mass density (g/cm3): 6.06

Cell: 11.7585 4.2962 16.0521 Å, 90.00 90.00 90.00°
Sites, in units of the cell vectors:
Cs1 0.2379 0.2500 0.0140
Cs2 0.2621 0.7500 0.5140
Cs3 0.7379 0.2500 0.4860
Cs4 0.7621 0.7500 0.9860
Ho1 0.0179 0.7500 0.2552
Ho2 0.4821 0.2500 0.7552
Ho3 0.5179 0.7500 0.2448
Ho4 0.9821 0.2500 0.7448
Ni1 0.2501 0.2500 0.2985
Ni2 0.2499 0.7500 0.7985
Ni3 0.7501 0.2500 0.2015
Ni4 0.7499 0.7500 0.7015
Te1 0.0542 0.7500 0.8712
Te2 0.0658 0.2500 0.3840
Te3 0.2355 0.2500 0.7127
Te4 0.2645 0.7500 0.2127
Te5 0.4342 0.7500 0.8840
Te6 0.4458 0.2500 0.3712
Te7 0.5542 0.7500 0.6288
Te8 0.5658 0.2500 0.1160
Te9 0.7355 0.2500 0.7873
Te10 0.7645 0.7500 0.2873
Te11 0.9342 0.7500 0.6160
Te12 0.9458 0.2500 0.1288


Entry 5:
CsHoNiTe3: optimized geometry, GGA-PBE.

Space-group type: P2_1/m (11)
Total energy (eV/atom): -4.32
Mass density (g/cm3): 5.71

Cell: 10.0110 4.3240 10.8267 Å, 90.00 113.33 90.00°
Sites, in units of the cell vectors:
Cs1 0.2269 0.2500 0.2648
Cs2 0.7731 0.7500 0.7352
Ho1 0.3208 0.7500 0.8614
Ho2 0.6792 0.2500 0.1386
Ni1 0.0920 0.2500 0.6216
Ni2 0.9080 0.7500 0.3784
Te1 0.1071 0.2500 0.8608
Te2 0.1682 0.7500 0.5443
Te3 0.4747 0.7500 0.1650
Te4 0.5253 0.2500 0.8350
Te5 0.8318 0.2500 0.4557
Te6 0.8929 0.7500 0.1392


Entry 6:
CsHoNiTe3: optimized geometry, GGA-PBE.

Space-group type: C2/m (12)
Total energy (eV/atom): -4.15
Mass density (g/cm3): 6.22

Cell: 8.9757 8.9757 9.9383 Å, 92.78 92.78 29.60°
Sites, in units of the cell vectors:
Cs1 0.1568 0.1568 0.0851
Cs2 0.8432 0.8432 0.9149
Ho1 0.1623 0.1623 0.5876
Ho2 0.8377 0.8377 0.4124
Ni1 0.4919 0.4919 0.6321
Ni2 0.5081 0.5081 0.3679
Te1 0.0000 0.0000 0.5000
Te2 0.3371 0.3371 0.6251
Te3 0.3823 0.3823 0.2206
Te4 0.5000 0.5000 0.0000
Te5 0.6177 0.6177 0.7794
Te6 0.6629 0.6629 0.3749


Entry 7:
CsHoNp: optimized geometry, GGA-PBE.

Space-group type: F-43m (216)
Total energy (eV/atom): -4.36
Mass density (g/cm3): 5.70

Cell: 6.0417 6.0417 6.0417 Å, 60.00 60.00 60.00°
Sites, in units of the cell vectors:
Cs1 0.0000 0.0000 0.0000
Ho1 0.7500 0.7500 0.7500
Np1 0.5000 0.5000 0.5000


Entry 8:
CsHoO3: optimized geometry, GGA-PBE.

Space-group type: P4mm (99)
Total energy (eV/atom): -5.64
Mass density (g/cm3): 6.64

Cell: 3.4583 3.4583 7.2356 Å, 90.00 90.00 90.00°
Sites, in units of the cell vectors:
Cs1 0.0000 0.0000 0.0000
Ho1 0.5000 0.5000 0.4915
O1 0.0000 0.0000 0.6149
O2 0.0000 0.5000 0.2988
O3 0.5000 0.0000 0.2988


Entry 9:
CsHoO3: optimized geometry, GGA-PBE.

Space-group type: Pnma (62)
Total energy (eV/atom): -5.75
Mass density (g/cm3): 6.31

Cell: 6.0316 11.8098 5.1110 Å, 90.00 90.00 90.00°
Sites, in units of the cell vectors:
Cs1 0.0000 0.0000 0.0000
Cs2 0.0000 0.5000 0.0000
Cs3 0.5000 0.0000 0.5000
Cs4 0.5000 0.5000 0.5000
Ho1 0.1034 0.2500 0.4489
Ho2 0.3966 0.7500 0.9489
Ho3 0.6034 0.2500 0.0511
Ho4 0.8966 0.7500 0.5511
O1 0.1478 0.6278 0.7290
O2 0.1478 0.8722 0.7290
O3 0.1758 0.7500 0.2842
O4 0.3242 0.2500 0.7842
O5 0.3522 0.1278 0.2290
O6 0.3522 0.3722 0.2290
O7 0.6478 0.6278 0.7710
O8 0.6478 0.8722 0.7710
O9 0.6758 0.7500 0.2158
O10 0.8242 0.2500 0.7158
O11 0.8522 0.1278 0.2710
O12 0.8522 0.3722 0.2710


Entry 10:
CsHoO3: optimized geometry, GGA-PBE.

Space-group type: R-3c (167)
Total energy (eV/atom): -5.92
Mass density (g/cm3): 6.30

Cell: 6.3515 6.3515 6.3515 Å, 60.29 60.29 60.29°
Sites, in units of the cell vectors:
Cs1 0.2500 0.2500 0.2500
Cs2 0.7500 0.7500 0.7500
Ho1 0.0000 0.0000 0.0000
Ho2 0.5000 0.5000 0.5000
O1 0.2478 0.7500 0.2522
O2 0.2500 0.7478 0.7522
O3 0.2522 0.2478 0.7500
O4 0.7478 0.7522 0.2500
O5 0.7500 0.2522 0.2478
O6 0.7522 0.2500 0.7478


Entry 11:
CsHoO3: optimized geometry, GGA-PBE.

Space-group type: P4mm (99)
Total energy (eV/atom): -5.92
Mass density (g/cm3): 6.30

Cell: 4.4923 4.4923 4.5137 Å, 90.00 90.00 90.00°
Sites, in units of the cell vectors:
Cs1 0.0000 0.0000 0.0000
Ho1 0.5000 0.5000 0.5012
O1 0.0000 0.5000 0.5053
O2 0.5000 0.0000 0.5053
O3 0.5000 0.5000 0.0013


Entry 12:
CsHoO3: optimized geometry, GGA-PBE.

Space-group type: Pm-3m (221)
Total energy (eV/atom): -5.92
Mass density (g/cm3): 6.31

Cell: 4.4990 4.4990 4.4990 Å, 90.00 90.00 90.00°
Sites, in units of the cell vectors:
Cs1 0.0000 0.0000 0.0000
Ho1 0.5000 0.5000 0.5000
O1 0.0000 0.5000 0.5000
O2 0.5000 0.0000 0.5000
O3 0.5000 0.5000 0.0000


Entry 13:
CsRbHo2O4: optimized geometry, GGA-PBE.

Space-group type: P-6m2 (187)
Total energy (eV/atom): -6.30
Mass density (g/cm3): 6.48

Cell: 3.5017 3.5017 14.7812 Å, 90.00 90.00 120.00°
Sites, in units of the cell vectors:
Cs1 0.0000 0.0000 0.0000
Rb1 0.3333 0.6667 0.5000
Ho1 0.6667 0.3333 0.2543
Ho2 0.6667 0.3333 0.7457
O1 0.0000 0.0000 0.1795
O2 0.0000 0.0000 0.8205
O3 0.3333 0.6667 0.3287
O4 0.3333 0.6667 0.6713


Entry 14:
CsHoRe2O8: optimized geometry, GGA-PBE.

Space-group type: P-3m1 (164)
Total energy (eV/atom): -7.82
Mass density (g/cm3): 5.48

Cell: 5.9616 5.9616 7.8605 Å, 90.00 90.00 120.00°
Sites, in units of the cell vectors:
Cs1 0.0000 0.0000 0.0000
Ho1 0.0000 0.0000 0.5000
Re1 0.3333 0.6667 0.2475
Re2 0.6667 0.3333 0.7525
O1 0.1700 0.3401 0.3290
O2 0.1700 0.8300 0.3290
O3 0.3333 0.6667 0.0223
O4 0.3401 0.1700 0.6710
O5 0.6599 0.8300 0.3290
O6 0.6667 0.3333 0.9777
O7 0.8300 0.1700 0.6710
O8 0.8300 0.6599 0.6710


Entry 15:
CsHoSO: optimized geometry, GGA-PBE.

Space-group type: P2_1/c (14)
Total energy (eV/atom): -5.86
Mass density (g/cm3): 5.95

Cell: 8.1930 7.2916 6.6611 Å, 90.00 103.80 90.00°
Sites, in units of the cell vectors:
Cs1 0.0801 0.2395 0.0010
Cs2 0.0801 0.2605 0.5010
Cs3 0.9199 0.7395 0.4990
Cs4 0.9199 0.7605 0.9990
Ho1 0.4814 0.6277 0.2774
Ho2 0.4814 0.8723 0.7774
Ho3 0.5186 0.1277 0.2226
Ho4 0.5186 0.3723 0.7226
S1 0.2763 0.5974 0.8596
S2 0.2763 0.9026 0.3596
S3 0.7237 0.0974 0.6404
S4 0.7237 0.4026 0.1404
O1 0.4029 0.1439 0.8795
O2 0.4029 0.3561 0.3795
O3 0.5971 0.6439 0.6205
O4 0.5971 0.8561 0.1205


Entry 16:
CsHoSO: optimized geometry, GGA-PBE.

Space-group type: Pca2_1 (29)
Total energy (eV/atom): -5.68
Mass density (g/cm3): 5.00

Cell: 8.5493 9.6459 5.5673 Å, 90.00 90.00 90.00°
Sites, in units of the cell vectors:
Cs1 0.1116 0.1023 0.0000
Cs2 0.3884 0.1023 0.5000
Cs3 0.6116 0.8977 0.0000
Cs4 0.8884 0.8977 0.5000
Ho1 0.0747 0.6309 0.0040
Ho2 0.4253 0.6309 0.5040
Ho3 0.5747 0.3691 0.0040
Ho4 0.9253 0.3691 0.5040
S1 0.1067 0.6006 0.5045
S2 0.3933 0.6006 0.0045
S3 0.6067 0.3994 0.5045
S4 0.8933 0.3994 0.0045
O1 0.0250 0.1850 0.5010
O2 0.4750 0.1850 0.0010
O3 0.5250 0.8150 0.5010
O4 0.9750 0.8150 0.0010


Entry 17:
CsHoSO: optimized geometry, GGA-PBE.

Space-group type: R3m (160)
Total energy (eV/atom): -5.78
Mass density (g/cm3): 6.26

Cell: 7.8386 7.8386 7.8386 Å, 27.68 27.68 27.68°
Sites, in units of the cell vectors:
Cs1 0.0000 0.0000 0.0000
Ho1 0.4847 0.4847 0.4847
S1 0.2240 0.2240 0.2240
O1 0.7760 0.7760 0.7760


Entry 18:
CsHoSO: optimized geometry, GGA-PBE.

Space-group type: P6_3mc (186)
Total energy (eV/atom): -5.78
Mass density (g/cm3): 6.27

Cell: 3.7512 3.7512 15.0432 Å, 90.00 90.00 120.00°
Sites, in units of the cell vectors:
Cs1 0.3333 0.6667 0.0000
Cs2 0.6667 0.3333 0.5000
Ho1 0.0000 0.0000 0.2275
Ho2 0.0000 0.0000 0.7275
S1 0.3333 0.6667 0.3366
S2 0.6667 0.3333 0.8366
O1 0.3333 0.6667 0.6650
O2 0.6667 0.3333 0.1650


Entry 19:
CsHoSO: optimized geometry, GGA-PBE.

Space-group type: P-3m1 (164)
Total energy (eV/atom): -5.76
Mass density (g/cm3): 6.27

Cell: 3.7567 3.7567 14.9788 Å, 90.00 90.00 120.00°
Sites, in units of the cell vectors:
Cs1 0.3333 0.6667 0.2224
Cs2 0.6667 0.3333 0.7776
Ho1 0.0000 0.0000 0.0000
Ho2 0.0000 0.0000 0.5000
S1 0.3333 0.6667 0.6050
S2 0.6667 0.3333 0.3950
O1 0.3333 0.6667 0.9298
O2 0.6667 0.3333 0.0702


Entry 20:
CsHoSO: optimized geometry, GGA-PBE.

Space-group type: Pmc2_1 (26)
Total energy (eV/atom): -5.83
Mass density (g/cm3): 4.48

Cell: 4.3760 8.6032 6.8128 Å, 90.00 90.00 90.00°
Sites, in units of the cell vectors:
Cs1 0.0000 0.1893 0.0000
Cs2 0.0000 0.8107 0.5000
Ho1 0.5000 0.3822 0.4436
Ho2 0.5000 0.6178 0.9436
S1 0.0000 0.2174 0.5055
S2 0.0000 0.7826 0.0055
O1 0.5000 0.4302 0.1402
O2 0.5000 0.5698 0.6402


Entry 21:
CsHoSO: optimized geometry, GGA-PBE.

Space-group type: P4/nmm (129)
Total energy (eV/atom): -5.54
Mass density (g/cm3): 5.01

Cell: 4.6494 4.6494 10.6001 Å, 90.00 90.00 90.00°
Sites, in units of the cell vectors:
Cs1 0.2500 0.7500 0.0000
Cs2 0.7500 0.2500 0.0000
Ho1 0.2500 0.2500 0.4449
Ho2 0.7500 0.7500 0.5551
S1 0.2500 0.2500 0.2115
S2 0.7500 0.7500 0.7885
O1 0.2500 0.7500 0.5000
O2 0.7500 0.2500 0.5000